No. 1
Material: FePb2Br
Method: DFT, PBE
State: optimized geometry

Calculated values
For the total energy, the calculation gives -3.8667 eV per atom. The energy relative to the elements, uncorrected is 0.52 eV/atom.

Lattice parameters (Å, degrees): 7.4664 7.4664 7.4664 90.00 90.00 90.00
With the nearest neighbours (Å) after each atom.
Space group Fm-3m (No. 225)
Symmetry-distinct sites (fractional):
Fe (0.0000, 0.0000, 0.0000) (multiplicity 4)  8 Pb 3.23
Pb (0.2500, 0.2500, 0.2500) (multiplicity 8)  4 Fe 3.23, 4 Br 3.23
Br (0.0000, 0.0000, 0.5000) (multiplicity 4)  8 Pb 3.23

---

No. 2
Material: NpAlO5
Method: DFT, PBE
State: optimized geometry

Calculated values
For the total energy, the calculation gives -8.2515 eV per atom. The energy relative to the elements, uncorrected is -2.33 eV/atom.

Lattice parameters (Å, degrees): 5.9490 10.6464 7.6809 90.00 112.39 90.00
With the nearest neighbours (Å) after each atom.
Space group C2/c (No. 15)
Symmetry-distinct sites (fractional):
Np (0.2500, 0.2500, 0.0000) (multiplicity 4)  6 O 2.00-2.10
Al (0.0000, 0.2072, 0.2500) (multiplicity 4)  4 O 1.80-1.83
O (0.0000, 0.1723, 0.7500) (multiplicity 4)  2 Np 2.10
O (0.0258, 0.3175, 0.4391) (multiplicity 8)  1 Al 1.83, 1 Np 2.00
O (0.2023, 0.1191, 0.1717) (multiplicity 8)  1 Al 1.80, 1 Np 2.01

---

No. 3
Material: Ac3La6Dy
Method: DFT, PBE
State: optimized geometry

Calculated values
For the total energy, the calculation gives -4.3659 eV per atom. As for the formation energy: 283 meV per atom.

Lattice parameters (Å, degrees): 10.3356 10.3356 13.1236 90.00 90.00 120.00
With the nearest neighbours (Å) after each atom.
Space group R-3 (No. 148, hexagonal axes)
Symmetry-distinct sites (fractional):
Ac (0.0000, 0.0000, 0.0000) (multiplicity 3)  2 Ac 3.38, 6 La 3.68
Ac (0.0000, 0.0000, 0.2573) (multiplicity 6)  1 Dy 3.18, 1 Ac 3.38, 3 La 3.44
La (0.0024, 0.3399, 0.0868) (multiplicity 18)  2 Ac 3.44-3.68, 1 Dy 3.56
Dy (0.0000, 0.0000, 0.5000) (multiplicity 3)  2 Ac 3.18, 6 La 3.56

---

No. 4
Material: KScPt
Method: DFT, PBE
State: optimized geometry

Calculated values
For the total energy, the calculation gives -3.6676 eV per atom. As for the formation energy: 822 meV per atom.

Lattice parameters (Å, degrees): 6.7252 6.7252 6.7252 90.00 90.00 90.00
With the nearest neighbours (Å) after each atom.
Space group F-43m (No. 216)
Symmetry-distinct sites (fractional):
K (0.0000, 0.0000, 0.0000) (multiplicity 4)  4 Sc 2.91, 4 Pt 2.91
Sc (0.2500, 0.2500, 0.7500) (multiplicity 4)  4 K 2.91
Pt (0.2500, 0.2500, 0.2500) (multiplicity 4)  4 K 2.91

---

No. 5
Material: LiPaGe
Method: DFT, PBE
State: optimized geometry

Calculated values
For the total energy, the calculation gives -5.5097 eV per atom. As for the formation energy: -167 meV per atom.

Lattice parameters (Å, degrees): 4.4699 4.4699 3.3851 90.00 90.00 120.00
With the nearest neighbours (Å) after each atom.
Space group P-6m2 (No. 187)
Symmetry-distinct sites (fractional):
Li (0.0000, 0.0000, 0.0000) (multiplicity 1)  3 Ge 2.58
Pa (0.6667, 0.3333, 0.5000) (multiplicity 1)  6 Li 3.09, 6 Ge 3.09, 2 Pa 3.39
Ge (0.3333, 0.6667, 0.0000) (multiplicity 1)  3 Li 2.58

---

No. 6
Material: NbV2Pt5Rh
Method: DFT, PBE
State: optimized geometry

Calculated values
For the total energy, the calculation gives -7.4442 eV per atom. As for the formation energy: -126 meV per atom.

Lattice parameters (Å, degrees): 7.3040 7.3040 10.8310 90.00 90.00 90.00
With the nearest neighbours (Å) after each atom.
Space group I4/mcm (No. 140)
Symmetry-distinct sites (fractional):
Nb (0.0000, 0.0000, 0.2500) (multiplicity 4)  10 Pt 2.71-2.91
V (0.0998, 0.4002, 0.0000) (multiplicity 8)  1 V 2.06
Pt (0.0000, 0.0000, 0.0000) (multiplicity 4)  2 Nb 2.71, 8 Pt 2.97, 4 V 3.01
Pt (0.2140, 0.2860, 0.3697) (multiplicity 16)  1 V 2.39, 1 Rh 2.56
Rh (0.0000, 0.5000, 0.2500) (multiplicity 4)  4 Pt 2.56

---

No. 7
Material: HfIrIO2
Method: DFT, PBE
State: optimized geometry

Calculated values
For the total energy, the calculation gives -6.9735 eV per atom. The energy relative to the elements, uncorrected is -0.92 eV/atom.

Lattice parameters (Å, degrees): 3.9807 3.9807 6.2864 90.00 90.00 90.00
With the nearest neighbours (Å) after each atom.
Space group P4/mmm (No. 123)
Symmetry-distinct sites (fractional):
Hf (0.0000, 0.0000, 0.0000) (multiplicity 1)  4 O 1.99
Ir (0.5000, 0.5000, 0.5000) (multiplicity 1)  4 I 2.81
I (0.0000, 0.0000, 0.5000) (multiplicity 1)  4 Ir 2.81, 2 Hf 3.14
O (0.0000, 0.5000, 0.0000) (multiplicity 2)  2 Hf 1.99

---

No. 8
Material: TbPm6Y2Tm3
Method: DFT, PBE
State: optimized geometry

Calculated values
For the total energy, the calculation gives -4.9425 eV per atom. As for the formation energy: 14 meV per atom.

Lattice parameters (Å, degrees): 6.2340 10.7942 11.7892 90.00 100.11 90.00
With the nearest neighbours (Å) after each atom.
Space group C2/m (No. 12)
Symmetry-distinct sites (fractional):
Tb (0.0000, 0.0000, 0.0000) (multiplicity 2)  6 Pm 3.59, 6 Y 3.60
Pm (0.2484, 0.0000, 0.7475) (multiplicity 4)  3 Tm 3.55, 1 Tb 3.59, 6 Pm 3.59-3.60, 2 Y 3.59
Pm (0.2494, 0.3336, 0.7476) (multiplicity 8)  3 Tm 3.54-3.55, 1 Tb 3.59, 2 Y 3.59, 6 Pm 3.59-3.60
Y (0.0000, 0.3334, 0.0000) (multiplicity 4)  6 Pm 3.59, 3 Y 3.60, 3 Tb 3.60
Tm (0.0000, 0.1668, 0.5000) (multiplicity 4)  6 Pm 3.54-3.55, 6 Tm 3.60
Tm (0.0000, 0.5000, 0.5000) (multiplicity 2)  6 Pm 3.55, 6 Tm 3.60

---

No. 9
Material: Ca5HoAg6
Method: DFT, PBE
State: optimized geometry

Calculated values
For the total energy, the calculation gives -2.9526 eV per atom. As for the formation energy: -311 meV per atom.

Lattice parameters (Å, degrees): 5.2159 7.4096 15.6455 90.00 90.00 90.00
With the nearest neighbours (Å) after each atom.
Space group Immm (No. 71)
Symmetry-distinct sites (fractional):
Ca (0.0000, 0.0000, 0.0000) (multiplicity 2)  8 Ag 3.17-3.29
Ca (0.0000, 0.0000, 0.3297) (multiplicity 4)  8 Ag 3.16-3.27
Ca (0.0000, 0.5000, 0.3360) (multiplicity 4)  8 Ag 3.24-3.27
Ho (0.0000, 0.5000, 0.0000) (multiplicity 2)  8 Ag 3.09-3.11
Ag (0.0000, 0.2288, 0.5000) (multiplicity 4)  2 Ho 3.11, 6 Ca 3.16-3.29, 1 Ag 3.39
Ag (0.0000, 0.2594, 0.1610) (multiplicity 8)  1 Ho 3.09, 7 Ca 3.16-3.27

---

No. 10
Material: TbCe2Pb
Method: DFT, PBE
State: optimized geometry

Calculated values
For the total energy, the calculation gives -5.3194 eV per atom. As for the formation energy: -268 meV per atom.

Lattice parameters (Å, degrees): 4.6575 4.6575 5.2061 90.00 90.00 90.00
With the nearest neighbours (Å) after each atom.
Space group P4/mmm (No. 123)
Symmetry-distinct sites (fractional):
Tb (0.0000, 0.0000, 0.0000) (multiplicity 1)  4 Pb 3.29, 8 Ce 3.49
Ce (0.0000, 0.5000, 0.5000) (multiplicity 2)  4 Ce 3.29, 4 Tb 3.49, 4 Pb 3.49
Pb (0.5000, 0.5000, 0.0000) (multiplicity 1)  4 Tb 3.29, 8 Ce 3.49